## PmSmEuRu (PBE)

Data for PmSmEuRu after structural relaxation.

a b c (Å): 5.253 5.253 5.253
angles (deg): 60.00 60.00 60.00
Site moments in Bohr magnetons follow the coordinates.
Element x y z (fractional)
1 Eu 0.750 0.750 0.750  -6.89
2 Ru 0.250 0.250 0.250  0.13
3 Sm 0.000 0.000 0.000  -0.10
4 Pm 0.500 0.500 0.500  -0.10

Results
Crystal system: cubic
ρ: 8.88 g cm⁻³
DOS(E_F): 1.16 states/eV/atom
Symmetry: F-43m, No. 216
Formation energy from the elements: 0.15 eV per atom

***

## YTm6Tl (PBE)

Data for YTm6Tl after structural relaxation.

a b c (Å): 8.495 9.137 6.239
angles (deg): 42.90 47.08 57.46
Element x y z (fractional)
1 Y 0.500 0.500 0.500
2 Tm 0.963 0.544 0.734
3 Tm 0.758 0.963 0.823
4 Tm 0.544 0.242 0.251
5 Tm 0.242 0.037 0.177
6 Tm 0.037 0.456 0.266
7 Tm 0.456 0.758 0.749
8 Tl 0.000 0.000 0.000

Results
Energy relative to the lowest polymorph listed for this composition: 92 meV/atom
Crystal system: trigonal
ρ: 9.02 g cm⁻³
DOS(E_F): 1.42 states/eV/atom
Symmetry: R-3, No. 148
Formation energy from the elements: 0.03 eV per atom

***

## LiAg2Pb (PBE)

Data for LiAg2Pb after structural relaxation.

a b c (Å): 5.247 5.247 5.246
angles (deg): 131.58 131.38 71.29
Element x y z (fractional)
1 Pb 0.750 0.249 0.500
2 Ag 0.000 0.001 0.000
3 Ag 0.250 0.751 0.500
4 Li 0.500 0.500 0.000

Results
Crystal system: triclinic
ρ: 9.01 g cm⁻³
DOS(E_F): 0.33 states/eV/atom
Symmetry: P1, No. 1
Formation energy from the elements: -0.10 eV per atom

***

## Ga2SnI8 (PBE)

Data for Ga2SnI8 after structural relaxation.

a b c (Å): 7.186 8.977 8.977
angles (deg): 79.76 84.27 84.27
Element x y z (fractional)
1 Ga 0.658 0.796 0.796
2 Ga 0.342 0.204 0.204
3 Sn 0.000 0.000 0.000
4 I 0.239 0.291 0.927
5 I 0.761 0.073 0.709
6 I 0.294 0.799 0.799
7 I 0.706 0.201 0.201
8 I 0.239 0.927 0.291
9 I 0.761 0.709 0.073
10 I 0.802 0.618 0.618
11 I 0.198 0.382 0.382

Results
Energy relative to the lowest polymorph listed for this composition: 4 meV/atom
ΔE_f (raw): -497 meV/atom
Crystal system: monoclinic
ρ: 3.74 g cm⁻³
DOS(E_F): 0.00 states/eV/atom
Symmetry: C2/m, No. 12

***

## Tl2ICl (PBE)

Data for Tl2ICl after structural relaxation.

a b c (Å): 4.677 4.677 8.692
angles (deg): 74.39 74.39 60.00
Element x y z (fractional)
1 Tl 0.075 0.075 0.776
2 Tl 0.258 0.258 0.225
3 I 0.499 0.499 0.502
4 Cl 0.668 0.668 0.997

Results
Energy relative to the lowest polymorph listed for this composition: 13 meV/atom
ΔE_f (raw): -819 meV/atom
Crystal system: trigonal
ρ: 6.06 g cm⁻³
DOS(E_F): 0.00 states/eV/atom
Symmetry: R3m, No. 160

***

## LaCe3Th2Sb6 (PBE)

Data for LaCe3Th2Sb6 after structural relaxation.

a b c (Å): 7.829 7.829 7.854
angles (deg): 99.56 99.56 120.00
Site moments in Bohr magnetons follow the coordinates.
Element x y z (fractional)
1 La 0.000 0.000 0.000  0.01
2 Ce 0.165 0.835 0.500  0.84
3 Ce 0.835 0.165 0.500  0.84
4 Ce 0.500 0.500 0.500  0.84
5 Th 0.333 0.667 0.000  0.03
6 Th 0.667 0.333 0.000  0.03
7 Sb 0.916 0.579 0.747  -0.01
8 Sb 0.746 0.746 0.251  -0.01
9 Sb 0.084 0.421 0.253  -0.01
10 Sb 0.579 0.916 0.747  -0.01
11 Sb 0.254 0.254 0.749  -0.01
12 Sb 0.421 0.084 0.253  -0.01

Results
ΔE_f (raw): -1053 meV/atom
Crystal system: monoclinic
ρ: 7.41 g cm⁻³
DOS(E_F): 1.93 states/eV/atom
Symmetry: C2/m, No. 12

***

## BaHoAu (PBE)

Data for BaHoAu after structural relaxation.

a b c (Å): 3.832 3.832 7.338
angles (deg): 105.13 105.13 90.00
Element x y z (fractional)
1 Au 0.696 0.696 0.392
2 Ho 0.285 0.285 0.570
3 Ba 0.019 0.019 0.038

Results
Energy relative to the lowest polymorph listed for this composition: 72 meV/atom
Crystal system: tetragonal
ρ: 8.28 g cm⁻³
DOS(E_F): 0.81 states/eV/atom
Symmetry: I4mm, No. 107
Formation energy from the elements: -0.47 eV per atom

***

## Ga2PdAuCl (PBE)

Data for Ga2PdAuCl after structural relaxation.

a b c (Å): 5.023 4.728 5.023
angles (deg): 90.00 90.00 90.00
Element x y z (fractional)
1 Au 0.500 0.500 0.500
2 Ga 0.000 0.000 0.500
3 Ga 0.500 0.000 0.000
4 Pd 0.000 0.000 0.000
5 Cl 0.000 0.500 0.000

Results
ΔE_f (raw): 39 meV/atom
Crystal system: tetragonal
ρ: 6.66 g cm⁻³
DOS(E_F): 0.17 states/eV/atom
Symmetry: P4/mmm, No. 123

***

no.,total magnetic moment (μB/cell)
1,7.3
2,0.0
3,0.0
4,0.0
5,0.0
6,2.9
7,0.0
8,0.0